Entry 1:
Here is a relaxed structure of TaNb12Ga6 from Alexandria. Energies are from PBE.

Summary:
DFT total energy ... -8.035 eV per atom
Space-group type ... No. 148
DOS(E_F) ... 0.734 states/eV/atom
Energy of formation from the pure elements ... -0.095 eV per atom

Cell: 6.9509 6.9509 6.9509 Å, 89.71 89.71 89.71°
Last column: nearest neighbours and their distance in Å.
Fractional positions:
1 Ta 0.0000 0.0000 0.0000  6 Ga 2.74, 6 Nb 2.84
2 Nb 0.0578 0.1407 0.3787  4 Nb 2.70-2.91, 1 Ta 2.84, 4 Ga 2.86-2.99
3 Nb 0.1407 0.3787 0.0578  4 Nb 2.70-2.91, 1 Ta 2.84, 4 Ga 2.86-2.99
4 Nb 0.1911 0.4847 0.5726  4 Ga 2.77-2.89, 4 Nb 2.82-2.91
5 Nb 0.3787 0.0578 0.1407  4 Nb 2.70-2.91, 1 Ta 2.84, 4 Ga 2.86-2.99
6 Nb 0.4274 0.8089 0.5153  4 Ga 2.77-2.89, 4 Nb 2.82-2.91
7 Nb 0.4847 0.5726 0.1911  4 Ga 2.77-2.89, 4 Nb 2.82-2.91
8 Nb 0.5153 0.4274 0.8089  4 Ga 2.77-2.89, 4 Nb 2.82-2.91
9 Nb 0.5726 0.1911 0.4847  4 Ga 2.77-2.89, 4 Nb 2.82-2.91
10 Nb 0.6213 0.9422 0.8593  4 Nb 2.70-2.91, 1 Ta 2.84, 4 Ga 2.86-2.99
11 Nb 0.8089 0.5153 0.4274  4 Ga 2.77-2.89, 4 Nb 2.82-2.91
12 Nb 0.8593 0.6213 0.9422  4 Nb 2.70-2.91, 1 Ta 2.84, 4 Ga 2.86-2.99
13 Nb 0.9422 0.8593 0.6213  4 Nb 2.70-2.91, 1 Ta 2.84, 4 Ga 2.86-2.99
14 Ga 0.1220 0.7390 0.2709  1 Ta 2.74, 9 Nb 2.77-3.05, 2 Ga 2.89
15 Ga 0.2610 0.7291 0.8780  1 Ta 2.74, 9 Nb 2.77-3.05, 2 Ga 2.89
16 Ga 0.2709 0.1220 0.7390  1 Ta 2.74, 9 Nb 2.77-3.05, 2 Ga 2.89
17 Ga 0.7291 0.8780 0.2610  1 Ta 2.74, 9 Nb 2.77-3.05, 2 Ga 2.89
18 Ga 0.7390 0.2709 0.1220  1 Ta 2.74, 9 Nb 2.77-3.05, 2 Ga 2.89
19 Ga 0.8780 0.2610 0.7291  1 Ta 2.74, 9 Nb 2.77-3.05, 2 Ga 2.89


Entry 2:
Here is a relaxed structure of TbBiH from Alexandria. Energies are from PBE.

Summary:
DFT total energy ... -4.391 eV per atom
Space-group type ... No. 164
DOS(E_F) ... 0.472 states/eV/atom
Distance to the lowest polymorph of the same formula ... 0.200 eV/atom

Cell: 3.6125 3.6125 12.1403 Å, 90.00 90.00 120.00°
Last column: nearest neighbours and their distance in Å.
Fractional positions:
1 Tb 0.3333 0.6667 0.3787  4 H 2.21
2 Tb 0.6667 0.3333 0.6213  4 H 2.21
3 Bi 0.3333 0.6667 0.8440  3 Tb 3.41, 1 H 3.44, 6 Bi 3.61
4 Bi 0.6667 0.3333 0.1560  3 Tb 3.41, 1 H 3.44, 6 Bi 3.61
5 H 0.3333 0.6667 0.5609  4 Tb 2.21
6 H 0.6667 0.3333 0.4391  4 Tb 2.21


Entry 3:
Here is a relaxed structure of RbAuO from Alexandria. Energies are from PBE.

Summary:
DFT total energy ... -3.901 eV per atom
Space-group type ... No. 139
Formation energy without anion corrections ... -0.83 eV/atom

Cell: 7.7657 7.7657 7.7657 Å, 98.43 98.43 134.99°
Last column: nearest neighbours and their distance in Å.
Fractional positions:
1 Rb 0.0000 0.3067 0.3067  4 O 2.92-2.98
2 Rb 0.0000 0.6933 0.6933  4 O 2.92-2.98
3 Rb 0.3067 0.0000 0.3067  4 O 2.92-2.98
4 Rb 0.6933 0.0000 0.6933  4 O 2.92-2.98
5 Au 0.3516 0.3516 0.7033  2 O 2.06
6 Au 0.3516 0.6484 0.0000  2 O 2.06
7 Au 0.6484 0.3516 0.0000  2 O 2.06
8 Au 0.6484 0.6484 0.2967  2 O 2.06
9 O 0.2126 0.5000 0.7126  2 Au 2.06
10 O 0.5000 0.2126 0.7126  2 Au 2.06
11 O 0.5000 0.7874 0.2874  2 Au 2.06
12 O 0.7874 0.5000 0.2874  2 Au 2.06


Entry 4:
Here is a relaxed structure of CeDyEr2 from Alexandria. Energies are from PBE.

Summary:
DFT total energy ... -4.863 eV per atom
Space-group type ... No. 166
DOS(E_F) ... 1.954 states/eV/atom
Energy of formation from the pure elements ... 0.052 eV per atom
Distance to the lowest polymorph of the same formula ... 0.000 eV/atom

Cell: 11.6166 11.6166 11.6166 Å, 17.34 17.34 17.34°
Last column: nearest neighbours and their distance in Å.
Fractional positions:
1 Ce 0.0000 0.0000 0.0000  6 Er 3.48, 6 Ce 3.50
2 Dy 0.5000 0.5000 0.5000  6 Dy 3.50, 6 Er 3.52
3 Er 0.2507 0.2507 0.2507  3 Ce 3.48, 6 Er 3.50, 3 Dy 3.52
4 Er 0.7493 0.7493 0.7493  3 Ce 3.48, 6 Er 3.50, 3 Dy 3.52


Entry 5:
Here is a relaxed structure of U5Fe3As3 from Alexandria. Energies are from PBE.

Summary:
DFT total energy ... -8.544 eV per atom
Space-group type ... No. 189
DOS(E_F) ... 1.607 states/eV/atom
Energy of formation from the pure elements ... 0.163 eV per atom

Cell: 8.1063 8.1063 3.6650 Å, 90.00 90.00 120.00°
Last column: nearest neighbours and their distance in Å.
Fractional positions:
1 U 0.0000 0.6568 0.0000  2 Fe 2.41, 2 U 2.66
2 U 0.3333 0.6667 0.0000  3 U 2.66
3 U 0.3432 0.3432 0.0000  2 Fe 2.41, 2 U 2.66
4 U 0.6568 0.0000 0.0000  2 Fe 2.41, 2 U 2.66
5 U 0.6667 0.3333 0.0000  3 U 2.66
6 Fe 0.0000 0.1798 0.0000  2 As 2.36, 2 U 2.41, 2 Fe 2.52
7 Fe 0.1798 0.0000 0.0000  2 As 2.36, 2 U 2.41, 2 Fe 2.52
8 Fe 0.8202 0.8202 0.0000  2 As 2.36, 2 U 2.41, 2 Fe 2.52
9 As 0.0000 0.3633 0.5000  2 Fe 2.36
10 As 0.3633 0.0000 0.5000  2 Fe 2.36
11 As 0.6367 0.6367 0.5000  2 Fe 2.36


Entry 6:
Here is a relaxed structure of Y2TaSi from Alexandria. Energies are from PBE.

Summary:
DFT total energy ... -7.703 eV per atom
Space-group type ... No. 99
DOS(E_F) ... 0.993 states/eV/atom
Formation energy without anion corrections ... -0.15 eV/atom

Cell: 3.4907 3.4907 7.8389 Å, 90.00 90.00 90.00°
Last column: nearest neighbours and their distance in Å.
Fractional positions:
1 Y 0.0000 0.0000 0.0000  1 Si 3.03, 4 Ta 3.20
2 Y 0.5000 0.5000 0.3731  1 Ta 2.88, 4 Si 3.10
3 Ta 0.5000 0.5000 0.7411  4 Si 2.66, 1 Y 2.88
4 Si 0.0000 0.0000 0.6131  4 Ta 2.66


Entry 7:
Here is a relaxed structure of AcTb7Tm2 from Alexandria. Energies are from PBE.

Summary:
DFT total energy ... -3.878 eV per atom
Space-group type ... No. 65
DOS(E_F) ... 1.281 states/eV/atom
Energy of formation from the pure elements ... 0.668 eV per atom
Distance to the lowest polymorph of the same formula ... 0.615 eV/atom

Cell: 9.0555 9.0555 5.7645 Å, 90.00 90.00 121.52°
Last column: nearest neighbours and their distance in Å.
Fractional positions:
1 Ac 0.0000 0.0000 0.0000  10 Tb 3.67-3.80
2 Tb 0.0578 0.2998 0.5000  2 Tm 3.12-3.20, 2 Tb 3.16-3.43
3 Tb 0.2325 0.7675 0.0000  2 Tm 3.06
4 Tb 0.2998 0.0578 0.5000  2 Tm 3.12-3.20, 2 Tb 3.16-3.43
5 Tb 0.5000 0.5000 0.5000  2 Tm 3.20, 4 Tb 3.43
6 Tb 0.7002 0.9422 0.5000  2 Tm 3.12-3.20, 2 Tb 3.16-3.43
7 Tb 0.7675 0.2325 0.0000  2 Tm 3.06
8 Tb 0.9422 0.7002 0.5000  2 Tm 3.12-3.20, 2 Tb 3.16-3.43
9 Tm 0.2972 0.7028 0.5000  7 Tb 3.06-3.20
10 Tm 0.7028 0.2972 0.5000  7 Tb 3.06-3.20


Entry 8:
Here is a relaxed structure of ScRh2 from Alexandria. Energies are from PBE.

Summary:
DFT total energy ... -7.399 eV per atom
Space-group type ... No. 141
DOS(E_F) ... 1.013 states/eV/atom
Energy of formation from the pure elements ... -0.388 eV per atom

Cell: 10.3490 10.3490 10.3490 Å, 162.33 162.33 25.09°
Last column: nearest neighbours and their distance in Å.
Fractional positions:
1 Sc 0.3750 0.6250 0.7500  8 Rh 2.69
2 Sc 0.6250 0.3750 0.2500  8 Rh 2.69
3 Rh 0.0517 0.8017 0.2500  2 Rh 2.62, 4 Sc 2.69
4 Rh 0.1983 0.9483 0.2500  2 Rh 2.62, 4 Sc 2.69
5 Rh 0.8017 0.0517 0.7500  2 Rh 2.62, 4 Sc 2.69
6 Rh 0.9483 0.1983 0.7500  2 Rh 2.62, 4 Sc 2.69


Entry 9:
Here is a relaxed structure of BeRePd2 from Alexandria. Energies are from PBE.

Summary:
DFT total energy ... -6.144 eV per atom
Space-group type ... No. 122
DOS(E_F) ... 0.517 states/eV/atom
Energy of formation from the pure elements ... 0.496 eV per atom

Cell: 9.1317 9.1317 9.1317 Å, 156.87 156.87 32.95°
Last column: nearest neighbours and their distance in Å.
Fractional positions:
1 Be 0.0000 0.0000 0.0000  4 Pd 2.53, 4 Re 2.59
2 Be 0.7500 0.2500 0.5000  4 Pd 2.53, 4 Re 2.59
3 Re 0.2500 0.7500 0.5000  4 Pd 2.55, 4 Be 2.59
4 Re 0.5000 0.5000 0.0000  4 Pd 2.55, 4 Be 2.59
5 Pd 0.1169 0.6250 0.9919  2 Be 2.53, 4 Pd 2.55-2.63, 2 Re 2.55
6 Pd 0.3750 0.3669 0.4919  2 Be 2.53, 4 Pd 2.55-2.63, 2 Re 2.55
7 Pd 0.6331 0.1250 0.0081  2 Be 2.53, 4 Pd 2.55-2.63, 2 Re 2.55
8 Pd 0.8750 0.8831 0.5081  2 Be 2.53, 4 Pd 2.55-2.63, 2 Re 2.55


Entry 10:
Here is a relaxed structure of LiMnPdPb from Alexandria. Energies are from PBE.

Summary:
DFT total energy ... -5.164 eV per atom
Space-group type ... No. 216
DOS(E_F) ... 0.395 states/eV/atom
Energy of formation from the pure elements ... -0.168 eV per atom

Cell: 4.6007 4.6007 4.6007 Å, 60.00 60.00 60.00°
Last column: nearest neighbours and their distance in Å.
Fractional positions:
1 Li 0.0000 0.0000 0.0000  4 Mn 2.82, 4 Pb 2.82
2 Mn 0.2500 0.2500 0.2500  4 Li 2.82, 4 Pd 2.82
3 Pd 0.5000 0.5000 0.5000  4 Mn 2.82, 4 Pb 2.82
4 Pb 0.7500 0.7500 0.7500  4 Li 2.82, 4 Pd 2.82